First-principles (PBE-GGA) data for a relaxed structure of NpCdBiO6, as listed in Alexandria via LeMat-Bulk.

Cell lengths 5.6726, 5.6726, 9.9241 Å; angles 90.00, 90.00, 120.00 degrees
Site moments in Bohr magnetons follow the coordinates.
Fractional positions:
Np: 0.6667 0.3333 0.2500  -0.09
O: 0.0403 0.6743 0.8658  0.00
Cd: 0.6667 0.3333 0.7500  0.00
O: 0.3660 0.3257 0.3658  0.00
O: 0.6340 0.9597 0.8658  0.00
O: 0.0403 0.3660 0.6342  0.00
O: 0.3257 0.3660 0.8658  0.00
O: 0.3660 0.0403 0.1342  0.00
O: 0.6743 0.0403 0.3658  0.00
Cd: 0.3333 0.6667 0.2500  0.00
O: 0.6340 0.6743 0.6342  0.00
O: 0.3257 0.9597 0.6342  0.00
O: 0.9597 0.6340 0.3658  0.00
Bi: 0.0000 0.0000 0.0000  0.00
O: 0.9597 0.3257 0.1342  0.00
Bi: 0.0000 0.0000 0.5000  0.00
O: 0.6743 0.6340 0.1342  0.00
Np: 0.3333 0.6667 0.7500  -0.09

Output
Space group: No. 163
Size of the total moment, μB per atom: 0.0074
Formation energy from raw total energies, eV/atom: -1.820